Record 1
The following is a PBE calculation of an optimized crystal structure of ReMoRh, from Alexandria.

Output
- relative energy among the computed polymorphs (meV/atom) = 157
- SG = No. 156

Cell: 2.7429 2.7429 6.9163 Å, 90.00 90.00 120.00°
Last column: nearest neighbours and their distance in Å.
Sites, in units of the cell vectors:
Re1 0.0000 0.0000 0.0000  6 Re 2.74, 3 Rh 2.76, 3 Mo 2.84
Mo1 0.3333 0.6667 0.6585  6 Mo 2.74, 3 Rh 2.79, 3 Re 2.84
Rh1 0.6667 0.3333 0.3272  6 Rh 2.74, 3 Re 2.76, 3 Mo 2.79


Record 2
The following is a PBE calculation of an optimized crystal structure of Mg2Tl2Pb, from Alexandria.

Output
- relative energy among the computed polymorphs (meV/atom) = 28
- SG = No. 127

Cell: 8.6382 8.6382 3.6067 Å, 90.00 90.00 90.00°
Last column: nearest neighbours and their distance in Å.
Sites, in units of the cell vectors:
Mg1 0.1332 0.3668 0.0000  6 Tl 3.05-3.16, 1 Mg 3.26, 2 Pb 3.37
Mg2 0.3668 0.8668 0.0000  6 Tl 3.05-3.16, 1 Mg 3.26, 2 Pb 3.37
Mg3 0.6332 0.1332 0.0000  6 Tl 3.05-3.16, 1 Mg 3.26, 2 Pb 3.37
Mg4 0.8668 0.6332 0.0000  6 Tl 3.05-3.16, 1 Mg 3.26, 2 Pb 3.37
Tl1 0.1654 0.6654 0.5000  6 Mg 3.05-3.16
Tl2 0.3346 0.1654 0.5000  6 Mg 3.05-3.16
Tl3 0.6654 0.8346 0.5000  6 Mg 3.05-3.16
Tl4 0.8346 0.3346 0.5000  6 Mg 3.05-3.16
Pb1 0.0000 0.0000 0.0000  4 Mg 3.37, 2 Pb 3.61, 8 Tl 3.69
Pb2 0.5000 0.5000 0.0000  4 Mg 3.37, 2 Pb 3.61, 8 Tl 3.69


Record 3
The following is a PBE calculation of an optimized crystal structure of Tb12Ga6C, from Alexandria.

Output
- total DFT energy (no corrections) (eV/cell) = -89.986
- SG = No. 148

Cell: 7.9718 7.9718 7.9718 Å, 93.92 93.92 93.92°
Last column: nearest neighbours and their distance in Å.
Sites, in units of the cell vectors:
Tb1 0.0370 0.7033 0.9239  1 C 2.44
Tb2 0.0761 0.9630 0.2967  1 C 2.44
Tb3 0.1950 0.5465 0.4215  4 Ga 2.95-3.10
Tb4 0.2967 0.0761 0.9630  1 C 2.44
Tb5 0.4215 0.1950 0.5465  4 Ga 2.95-3.10
Tb6 0.4535 0.5785 0.8050  4 Ga 2.95-3.10
Tb7 0.5465 0.4215 0.1950  4 Ga 2.95-3.10
Tb8 0.5785 0.8050 0.4535  4 Ga 2.95-3.10
Tb9 0.7033 0.9239 0.0370  1 C 2.44
Tb10 0.8050 0.4535 0.5785  4 Ga 2.95-3.10
Tb11 0.9239 0.0370 0.7033  1 C 2.44
Tb12 0.9630 0.2967 0.0761  1 C 2.44
Ga1 0.1449 0.3516 0.7395  8 Tb 2.95-3.27
Ga2 0.2605 0.8551 0.6484  8 Tb 2.95-3.27
Ga3 0.3516 0.7395 0.1449  8 Tb 2.95-3.27
Ga4 0.6484 0.2605 0.8551  8 Tb 2.95-3.27
Ga5 0.7395 0.1449 0.3516  8 Tb 2.95-3.27
Ga6 0.8551 0.6484 0.2605  8 Tb 2.95-3.27
C1 0.0000 0.0000 0.0000  6 Tb 2.44


Record 4
The following is a PBE calculation of an optimized crystal structure of LaZn2GaAu5, from Alexandria.

Output
- total DFT energy (no corrections) (eV/cell) = -29.372
- SG = No. 123

Cell: 4.9633 4.9633 7.6312 Å, 90.00 90.00 90.00°
Last column: nearest neighbours and their distance in Å.
Sites, in units of the cell vectors:
La1 0.0000 0.0000 0.0000  12 Au 3.19-3.51
Zn1 0.5000 0.5000 0.3432  1 Zn 2.39, 5 Au 2.56-2.62
Zn2 0.5000 0.5000 0.6568  1 Zn 2.39, 5 Au 2.56-2.62
Ga1 0.0000 0.0000 0.5000  8 Au 3.07
Au1 0.0000 0.5000 0.2629  2 Zn 2.56
Au2 0.0000 0.5000 0.7371  2 Zn 2.56
Au3 0.5000 0.0000 0.2629  2 Zn 2.56
Au4 0.5000 0.0000 0.7371  2 Zn 2.56
Au5 0.5000 0.5000 0.0000  2 Zn 2.62


Record 5
The following is a PBE calculation of an optimized crystal structure of Pm4Zn2Pb, from Alexandria.

Output
- total DFT energy (no corrections) (eV/cell) = -26.830
- SG = No. 166

Cell: 8.9843 8.9843 8.9843 Å, 33.69 33.69 33.69°
Last column: nearest neighbours and their distance in Å.
Sites, in units of the cell vectors:
Pm1 0.1140 0.1140 0.1140  4 Zn 3.10-3.42, 3 Pb 3.29
Pm2 0.3668 0.3668 0.3668  4 Zn 3.00-3.27
Pm3 0.6332 0.6332 0.6332  4 Zn 3.00-3.27
Pm4 0.8860 0.8860 0.8860  4 Zn 3.10-3.42, 3 Pb 3.29
Zn1 0.2488 0.2488 0.2488  7 Pm 3.00-3.27
Zn2 0.7512 0.7512 0.7512  7 Pm 3.00-3.27
Pb1 0.5000 0.5000 0.5000  8 Pm 3.29-3.38, 6 Zn 3.66


Record 6
The following is a PBE calculation of an optimized crystal structure of Ti2Mn2Os, from Alexandria.

Output
- relative energy among the computed polymorphs (meV/atom) = 0
- SG = No. 127

Cell: 6.6658 6.6658 3.1014 Å, 90.00 90.00 90.00°
Last column: nearest neighbours and their distance in Å.
Sites, in units of the cell vectors:
Ti1 0.1954 0.3046 0.0000  6 Mn 2.42-2.61
Ti2 0.3046 0.8046 0.0000  6 Mn 2.42-2.61
Ti3 0.6954 0.1954 0.0000  6 Mn 2.42-2.61
Ti4 0.8046 0.6954 0.0000  6 Mn 2.42-2.61
Mn1 0.1070 0.6070 0.5000  1 Mn 2.02
Mn2 0.3930 0.1070 0.5000  1 Mn 2.02
Mn3 0.6070 0.8930 0.5000  1 Mn 2.02
Mn4 0.8930 0.3930 0.5000  1 Mn 2.02
Os1 0.0000 0.0000 0.5000  4 Mn 2.72, 8 Ti 2.87
Os2 0.5000 0.5000 0.5000  4 Mn 2.72, 8 Ti 2.87


Record 7
The following is a PBE calculation of an optimized crystal structure of EuGdSn4, from Alexandria.

Output
- total DFT energy (no corrections) (eV/cell) = -37.197
- SG = No. 216

Cell: 7.7779 7.7779 7.7779 Å, 60.00 60.00 60.00°
Last column: nearest neighbours and their distance in Å.
Sites, in units of the cell vectors:
Eu1 0.0000 0.0000 0.0000  4 Sn 2.99
Gd1 0.2500 0.2500 0.2500  12 Sn 4.70, 4 Eu 4.76
Sn1 0.4702 0.8433 0.8433  3 Sn 2.90, 1 Eu 2.99
Sn2 0.8433 0.4702 0.8433  3 Sn 2.90, 1 Eu 2.99
Sn3 0.8433 0.8433 0.4702  3 Sn 2.90, 1 Eu 2.99
Sn4 0.8433 0.8433 0.8433  3 Sn 2.90, 1 Eu 2.99


Record 8
The following is a PBE calculation of an optimized crystal structure of Pu3Th4ScS8, from Alexandria.

Output
- E_form (uncorrected) (kcal/mol of atoms) = -41.9
- SG = No. 166

Cell: 8.0001 8.0001 8.0001 Å, 58.78 58.78 58.78°
Last column: nearest neighbours and their distance in Å.
Sites, in units of the cell vectors:
Pu1 0.0000 0.5000 0.5000  6 S 2.75-2.76
Pu2 0.5000 0.0000 0.5000  6 S 2.75-2.76
Pu3 0.5000 0.5000 0.0000  6 S 2.75-2.76
Th1 0.0000 0.0000 0.5000  6 S 2.85-2.86
Th2 0.0000 0.5000 0.0000  6 S 2.85-2.86
Th3 0.5000 0.0000 0.0000  6 S 2.85-2.86
Th4 0.5000 0.5000 0.5000  6 S 2.92
Sc1 0.0000 0.0000 0.0000  6 S 2.69
S1 0.2400 0.2400 0.7521  1 Sc 2.69, 2 Pu 2.76, 3 Th 2.85-2.92
S2 0.2400 0.7521 0.2400  1 Sc 2.69, 2 Pu 2.76, 3 Th 2.85-2.92
S3 0.2479 0.7600 0.7600  1 Sc 2.69, 2 Pu 2.76, 3 Th 2.85-2.92
S4 0.2546 0.2546 0.2546  3 Pu 2.75, 3 Th 2.86
S5 0.7454 0.7454 0.7454  3 Pu 2.75, 3 Th 2.86
S6 0.7521 0.2400 0.2400  1 Sc 2.69, 2 Pu 2.76, 3 Th 2.85-2.92
S7 0.7600 0.2479 0.7600  1 Sc 2.69, 2 Pu 2.76, 3 Th 2.85-2.92
S8 0.7600 0.7600 0.2479  1 Sc 2.69, 2 Pu 2.76, 3 Th 2.85-2.92


Record 9
The following is a PBE calculation of an optimized crystal structure of OsWCl2, from Alexandria.

Output
- relative energy among the computed polymorphs (meV/atom) = 544
- E_form (uncorrected) (kcal/mol of atoms) = 9.7
- SG = No. 12

Cell: 6.8888 6.8888 4.5857 Å, 95.21 95.21 24.42°
Last column: nearest neighbours and their distance in Å.
Sites, in units of the cell vectors:
Os1 0.0000 0.0000 0.0000  2 Cl 2.39
W1 0.5000 0.5000 0.5000  4 Cl 2.50, 4 Os 2.72
Cl1 0.1391 0.1391 0.7138  1 Os 2.39, 2 W 2.50
Cl2 0.8609 0.8609 0.2862  1 Os 2.39, 2 W 2.50


Record 10
The following is a PBE calculation of an optimized crystal structure of Hf2Ti2Ga, from Alexandria.

Output
- relative energy among the computed polymorphs (meV/atom) = 184
- SG = No. 127

Cell: 7.2194 7.2194 3.7897 Å, 90.00 90.00 90.00°
Last column: nearest neighbours and their distance in Å.
Sites, in units of the cell vectors:
Hf1 0.1426 0.3574 0.0000  2 Ga 2.78, 6 Ti 2.79-2.88, 1 Hf 2.91
Hf2 0.3574 0.8574 0.0000  2 Ga 2.78, 6 Ti 2.79-2.88, 1 Hf 2.91
Hf3 0.6426 0.1426 0.0000  2 Ga 2.78, 6 Ti 2.79-2.88, 1 Hf 2.91
Hf4 0.8574 0.6426 0.0000  2 Ga 2.78, 6 Ti 2.79-2.88, 1 Hf 2.91
Ti1 0.1570 0.6570 0.5000  6 Hf 2.79-2.88
Ti2 0.3430 0.1570 0.5000  6 Hf 2.79-2.88
Ti3 0.6570 0.8430 0.5000  6 Hf 2.79-2.88
Ti4 0.8430 0.3430 0.5000  6 Hf 2.79-2.88
Ga1 0.0000 0.0000 0.0000  4 Hf 2.78
Ga2 0.5000 0.5000 0.0000  4 Hf 2.78


Record 11
The following is a PBE calculation of an optimized crystal structure of As5Au3, from Alexandria.

Output
- relative energy among the computed polymorphs (meV/atom) = 0
- SG = No. 193

Cell: 8.5321 8.5321 5.5783 Å, 90.00 90.00 120.00°
Last column: nearest neighbours and their distance in Å.
Sites, in units of the cell vectors:
As1 0.0000 0.1690 0.2500  2 As 2.50, 1 Au 2.79
As2 0.0000 0.8310 0.7500  2 As 2.50, 1 Au 2.79
As3 0.1690 0.0000 0.2500  2 As 2.50, 1 Au 2.79
As4 0.1690 0.1690 0.7500  2 As 2.50, 1 Au 2.79
As5 0.3333 0.6667 0.0000  2 As 2.79, 6 Au 2.83
As6 0.3333 0.6667 0.5000  2 As 2.79, 6 Au 2.83
As7 0.6667 0.3333 0.0000  2 As 2.79, 6 Au 2.83
As8 0.6667 0.3333 0.5000  2 As 2.79, 6 Au 2.83
As9 0.8310 0.0000 0.7500  2 As 2.50, 1 Au 2.79
As10 0.8310 0.8310 0.2500  2 As 2.50, 1 Au 2.79
Au1 0.0000 0.4963 0.2500  2 Au 2.79, 5 As 2.79-2.83
Au2 0.0000 0.5037 0.7500  2 Au 2.79, 5 As 2.79-2.83
Au3 0.4963 0.0000 0.2500  2 Au 2.79, 5 As 2.79-2.83
Au4 0.4963 0.4963 0.7500  2 Au 2.79, 5 As 2.79-2.83
Au5 0.5037 0.0000 0.7500  2 Au 2.79, 5 As 2.79-2.83
Au6 0.5037 0.5037 0.2500  2 Au 2.79, 5 As 2.79-2.83


Record 12
The following is a PBE calculation of an optimized crystal structure of Hf5Ga3Au, from Alexandria.

Output
- total DFT energy (no corrections) (eV/cell) = -122.827
- SG = No. 12

Cell: 6.2954 6.2954 10.1608 Å, 93.98 93.98 81.43°
Last column: nearest neighbours and their distance in Å.
Sites, in units of the cell vectors:
Hf1 0.0315 0.0315 0.3064  3 Hf 2.84-3.13, 3 Ga 2.85-2.92
Hf2 0.1072 0.5123 0.3447  4 Ga 2.71-2.84, 1 Au 2.84
Hf3 0.1737 0.8263 0.0000  3 Ga 2.68-2.90, 1 Hf 2.85
Hf4 0.2290 0.2290 0.8534  1 Au 2.71, 2 Ga 2.72-2.86, 1 Hf 2.84
Hf5 0.4877 0.8928 0.6553  4 Ga 2.71-2.84, 1 Au 2.84
Hf6 0.5123 0.1072 0.3447  4 Ga 2.71-2.84, 1 Au 2.84
Hf7 0.7710 0.7710 0.1466  1 Au 2.71, 2 Ga 2.72-2.86, 1 Hf 2.84
Hf8 0.8263 0.1737 0.0000  3 Ga 2.68-2.90, 1 Hf 2.85
Hf9 0.8928 0.4877 0.6553  4 Ga 2.71-2.84, 1 Au 2.84
Hf10 0.9685 0.9685 0.6936  3 Hf 2.84-3.13, 3 Ga 2.85-2.92
Ga1 0.2155 0.2155 0.5439  6 Hf 2.71-2.92, 1 Ga 2.79
Ga2 0.2434 0.2434 0.1216  6 Hf 2.72-2.90, 1 Ga 2.84, 1 Au 2.89
Ga3 0.5000 0.5000 0.0000  2 Au 2.60, 4 Hf 2.68-2.86, 2 Ga 2.84
Ga4 0.5000 0.5000 0.5000  2 Au 2.50, 2 Ga 2.79
Ga5 0.7566 0.7566 0.8784  6 Hf 2.72-2.90, 1 Ga 2.84, 1 Au 2.89
Ga6 0.7845 0.7845 0.4561  6 Hf 2.71-2.92, 1 Ga 2.79
Au1 0.4770 0.4770 0.7432  2 Ga 2.50-2.60, 1 Hf 2.71
Au2 0.5230 0.5230 0.2568  2 Ga 2.50-2.60, 1 Hf 2.71


no.,spin magnetization (μB/f.u.)
1,0.00
2,0.00
3,0.00
4,0.00
5,0.00
6,0.00
7,0.02
8,15.85
9,0.16
10,0.00
11,0.00
12,0.00